HWO3 | PBE+U | relaxed

Lattice parameters (Å, degrees): 3.8447 3.8447 3.8447 90.00 90.00 90.00
Site moments in Bohr magnetons follow the coordinates.
Fractional coordinates of all 5 atoms:
H (0.5000, 0.5000, 0.5000)  0.39
O (0.5000, 0.0000, 0.0000)  0.00
O (0.0000, 0.0000, 0.5000)  0.03
O (0.0000, 0.5000, 0.0000)  0.02
W (0.0000, 0.0000, 0.0000)  0.04

Results
**Density of states at the Fermi level**: 0.00 states/eV per atom
**Calculated volume**: 56.8 Å³/f.u.
**Final energy**: -30.928 eV per cell